This record from the Alexandria database describes crystalline LaTb2Pr3Dy6 at its relaxed geometry. The functional is PBE.

Fermi-level density of states: 1.245 states/eV per atom
ΔE_f: 0.0171 eV per atom
magnetization: 0.00 μB per formula unit

Cell lengths 6.2591, 10.8417, 11.8979 Å; angles 90.00, 100.08, 90.00 degrees
Space group C2/m (No. 12)
Unique sites:
La: 0.0000 0.0000 0.0000 [2 per cell]
Tb: 0.0000 0.3333 0.0000 [4 per cell]
Pr: 0.0000 0.1671 0.5000 [4 per cell]
Pr: 0.0000 0.5000 0.5000 [2 per cell]
Dy: 0.2485 0.5000 0.2484 [4 per cell]
Dy: 0.2503 0.1672 0.2483 [8 per cell]